No. 1
A geometry-optimized ScMoAs2Br structure, computed with PBE.

It has space group P4/mmm (No. 123), with a = 4.8310 Å, b = 4.8310 Å, c = 5.2748 Å, α = 90.00°, β = 90.00° and γ = 90.00°. The inequivalent atoms are Sc at (0.0000, 0.0000, 0.0000), Mo at (0.5000, 0.5000, 0.5000), As at (0.0000, 0.5000, 0.5000) and Br at (0.5000, 0.5000, 0.0000).

The value obtained for the total moment is 0.90 μB per formula unit. For the offset from the most stable computed form, the calculation gives 0.000 eV/atom. For the electronic total energy, the calculation gives -27.0 eV for the cell shown. The raw formation energy comes out at 220 meV/atom.



No. 2
A geometry-optimized MoAs2SeBr structure, computed with PBE.

It has space group P4/mmm (No. 123), with a = 5.0974 Å, b = 5.0974 Å, c = 5.0244 Å, α = 90.00°, β = 90.00° and γ = 90.00°. The inequivalent atoms are Mo at (0.0000, 0.0000, 0.0000), As at (0.0000, 0.5000, 0.5000), Se at (0.5000, 0.5000, 0.5000) and Br at (0.5000, 0.5000, 0.0000).

The value obtained for the total moment is 2.88 μB per formula unit. For the offset from the most stable computed form, the calculation gives 1.036 eV/atom. For the electronic total energy, the calculation gives -18.9 eV for the cell shown. The raw formation energy comes out at 1271 meV/atom.



No. 3
A geometry-optimized MoAsSeBr2 structure, computed with PBE.

It has space group P4/mmm (No. 123), with a = 4.9097 Å, b = 4.9097 Å, c = 5.1516 Å, α = 90.00°, β = 90.00° and γ = 90.00°. The inequivalent atoms are Mo at (0.0000, 0.0000, 0.0000), As at (0.0000, 0.0000, 0.5000), Se at (0.5000, 0.5000, 0.5000) and Br at (0.0000, 0.5000, 0.0000).

The value obtained for the total moment is 0.00 μB per formula unit. For the offset from the most stable computed form, the calculation gives 0.008 eV/atom. For the electronic total energy, the calculation gives -19.9 eV for the cell shown. The raw formation energy comes out at 474 meV/atom.



No. 4
A geometry-optimized MoAsSe2Br structure, computed with PBE.

It has space group P4/mmm (No. 123), with a = 5.1350 Å, b = 5.1350 Å, c = 5.0281 Å, α = 90.00°, β = 90.00° and γ = 90.00°. The inequivalent atoms are Mo at (0.0000, 0.0000, 0.0000), As at (0.5000, 0.5000, 0.5000), Se at (0.0000, 0.5000, 0.5000) and Br at (0.5000, 0.5000, 0.0000).

The value obtained for the total moment is 4.11 μB per formula unit. For the offset from the most stable computed form, the calculation gives 0.697 eV/atom. For the electronic total energy, the calculation gives -19.7 eV for the cell shown. The raw formation energy comes out at 888 meV/atom.



No. 5
A geometry-optimized MoAsSeBr2 structure, computed with PBE.

It has space group P4/mmm (No. 123), with a = 5.1693 Å, b = 5.1693 Å, c = 5.3774 Å, α = 90.00°, β = 90.00° and γ = 90.00°. The inequivalent atoms are Mo at (0.0000, 0.0000, 0.0000), As at (0.5000, 0.5000, 0.0000), Se at (0.5000, 0.5000, 0.5000) and Br at (0.0000, 0.5000, 0.5000).

The value obtained for the total moment is 3.92 μB per formula unit. For the offset from the most stable computed form, the calculation gives 0.659 eV/atom. For the electronic total energy, the calculation gives -16.7 eV for the cell shown. The raw formation energy comes out at 1124 meV/atom.



No. 6
A geometry-optimized MoAs2SeBr structure, computed with PBE.

It has space group P4/mmm (No. 123), with a = 4.9796 Å, b = 4.9796 Å, c = 4.8037 Å, α = 90.00°, β = 90.00° and γ = 90.00°. The inequivalent atoms are Mo at (0.0000, 0.0000, 0.0000), As at (0.0000, 0.5000, 0.0000), Se at (0.0000, 0.0000, 0.5000) and Br at (0.5000, 0.5000, 0.5000).

The value obtained for the total moment is 0.00 μB per formula unit. For the offset from the most stable computed form, the calculation gives 0.000 eV/atom. For the electronic total energy, the calculation gives -24.1 eV for the cell shown. The raw formation energy comes out at 235 meV/atom.



No. 7
A geometry-optimized MoAsSe2Br structure, computed with PBE.

It has space group P4/mmm (No. 123), with a = 5.1294 Å, b = 5.1294 Å, c = 5.0504 Å, α = 90.00°, β = 90.00° and γ = 90.00°. The inequivalent atoms are Mo at (0.0000, 0.0000, 0.0000), As at (0.5000, 0.5000, 0.0000), Se at (0.0000, 0.5000, 0.5000) and Br at (0.5000, 0.5000, 0.5000).

The value obtained for the total moment is 2.40 μB per formula unit. For the offset from the most stable computed form, the calculation gives 1.307 eV/atom. For the electronic total energy, the calculation gives -16.6 eV for the cell shown. The raw formation energy comes out at 1497 meV/atom.



No. 8
A geometry-optimized MoAsSe2Br structure, computed with PBE.

It has space group P4/mmm (No. 123), with a = 4.9412 Å, b = 4.9412 Å, c = 5.1486 Å, α = 90.00°, β = 90.00° and γ = 90.00°. The inequivalent atoms are Mo at (0.0000, 0.0000, 0.0000), As at (0.5000, 0.5000, 0.5000), Se at (0.0000, 0.5000, 0.0000) and Br at (0.0000, 0.0000, 0.5000).

The value obtained for the total moment is 2.42 μB per formula unit. For the offset from the most stable computed form, the calculation gives 0.285 eV/atom. For the electronic total energy, the calculation gives -21.7 eV for the cell shown. The raw formation energy comes out at 476 meV/atom.